[1]
## PmEr2Zn (PBE)

Data for a geometry-optimized PmEr2Zn structure.

Cell: 3.5860 3.5860 10.4568 Å, 80.13 80.13 60.00°
Last column: nearest neighbours and their distance in Å.
Element x y z (fractional)
Er 0.2627 0.2627 0.2118  3 Zn 2.99
Er 0.0705 0.0705 0.7884  3 Zn 3.01
Pm 0.5005 0.5005 0.4985  6 Pm 3.59, 6 Er 3.59-3.62
Zn 0.6662 0.6662 0.0013  6 Er 2.99-3.01

theoretical density: 7.9 g/cm3
formation enthalpy at 0 K: -0.06 eV per atom
crystal system: trigonal
DFT total energy: -3.8438 eV/atom

---

[2]
## PmErZn (PBE)

Data for a geometry-optimized PmErZn structure.

Cell: 6.5811 6.5811 5.1384 Å, 90.00 90.00 134.55°
Last column: nearest neighbours and their distance in Å.
Element x y z (fractional)
Zn 0.7470 0.2530 0.2500  4 Er 3.04-3.10, 4 Pm 3.13-3.15
Zn 0.2530 0.7470 0.7500  4 Er 3.04-3.10, 4 Pm 3.13-3.15
Pm 0.5998 0.4002 0.7500  4 Zn 3.13-3.15
Pm 0.4002 0.5998 0.2500  4 Zn 3.13-3.15
Er 0.1099 0.8901 0.2500  4 Zn 3.04-3.10
Er 0.8901 0.1099 0.7500  4 Zn 3.04-3.10

theoretical density: 7.9 g/cm3
formation enthalpy at 0 K: -0.20 eV per atom
crystal system: orthorhombic
DFT total energy: -3.7336 eV/atom

---

[3]
## Pm2ErZn6 (PBE)

Data for a geometry-optimized Pm2ErZn6 structure.

Cell: 3.5464 7.8374 7.8374 Å, 120.00 90.00 90.00°
Last column: nearest neighbours and their distance in Å.
Element x y z (fractional)
Zn 0.5000 0.6703 0.6703  3 Zn 2.58-2.67
Zn 0.5000 0.3297 0.0000  3 Zn 2.58-2.67
Zn 0.5000 0.0000 0.6703  3 Zn 2.58-2.67
Zn 0.5000 0.6703 0.0000  3 Zn 2.58-2.67
Zn 0.5000 0.3297 0.3297  3 Zn 2.58-2.67
Zn 0.5000 0.0000 0.3297  3 Zn 2.58-2.67
Pm 0.0000 0.3333 0.6667  12 Zn 3.17, 2 Pm 3.55
Pm 0.0000 0.6667 0.3333  12 Zn 3.17, 2 Pm 3.55
Er 0.0000 0.0000 0.0000  12 Zn 3.13

theoretical density: 7.5 g/cm3
formation enthalpy at 0 K: -0.36 eV per atom
crystal system: hexagonal
DFT total energy: -2.7732 eV/atom

---

[4]
## Pm2ErZn3 (PBE)

Data for a geometry-optimized Pm2ErZn3 structure.

Cell: 3.6083 3.6083 10.9189 Å, 90.00 90.00 90.00°
Last column: nearest neighbours and their distance in Å.
Element x y z (fractional)
Pm 0.5000 0.5000 0.8294  8 Zn 3.16-3.19
Pm 0.5000 0.5000 0.1706  8 Zn 3.16-3.19
Zn 0.0000 0.0000 0.6545  4 Er 3.06, 4 Pm 3.19, 1 Zn 3.37
Zn 0.0000 0.0000 0.0000  8 Pm 3.16
Zn 0.0000 0.0000 0.3455  4 Er 3.06, 4 Pm 3.19, 1 Zn 3.37
Er 0.5000 0.5000 0.5000  8 Zn 3.06

theoretical density: 7.6 g/cm3
formation enthalpy at 0 K: -0.32 eV per atom
crystal system: tetragonal
DFT total energy: -3.3018 eV/atom

---

[5]
## Pm2ErZn3 (PBE)

Data for a geometry-optimized Pm2ErZn3 structure.

Cell: 5.1130 5.1130 6.2755 Å, 90.00 90.00 120.00°
Last column: nearest neighbours and their distance in Å.
Element x y z (fractional)
Zn 0.6667 0.3333 0.8345  5 Pm 3.08-3.20, 3 Er 3.13
Zn 0.3333 0.6667 0.1655  5 Pm 3.08-3.20, 3 Er 3.13
Zn 0.0000 0.0000 0.5000  2 Er 3.14, 6 Pm 3.15
Er 0.0000 0.0000 0.0000  8 Zn 3.13-3.14
Pm 0.3333 0.6667 0.6753  8 Zn 3.08-3.20
Pm 0.6667 0.3333 0.3247  8 Zn 3.08-3.20

theoretical density: 7.6 g/cm3
formation enthalpy at 0 K: -0.32 eV per atom
crystal system: trigonal
DFT total energy: -3.3036 eV/atom

---

[6]
## PmEr4Zn (PBE)

Data for a geometry-optimized PmEr4Zn structure.

Cell: 3.5405 3.5405 13.6340 Å, 90.00 90.00 90.00°
Last column: nearest neighbours and their distance in Å.
Element x y z (fractional)
Er 0.5000 0.5000 0.1865  8 Er 3.54-3.55, 4 Pm 3.57
Er 0.5000 0.5000 0.8135  8 Er 3.54-3.55, 4 Pm 3.57
Er 0.0000 0.0000 0.3714  4 Zn 3.06
Er 0.0000 0.0000 0.6286  4 Zn 3.06
Zn 0.5000 0.5000 0.5000  8 Er 3.06
Pm 0.0000 0.0000 0.0000  4 Pm 3.54, 8 Er 3.57

theoretical density: 8.5 g/cm3
formation enthalpy at 0 K: -0.10 eV per atom
crystal system: tetragonal
DFT total energy: -4.1427 eV/atom

---

- Which value of DFT total energy does entry 5 give?
  -3.3036 eV/atom